# PBE-GGA Zn15Tc, optimized geometry
data_Zn15Tc
_chemical_formula_sum 'Zn30 Tc2'
_symmetry_space_group_name_H-M 'P -1'
_symmetry_Int_Tables_number 2
_cell_length_a 6.931
_cell_length_b 8.646
_cell_length_c 9.172
_cell_angle_alpha 82.77
_cell_angle_beta 82.59
_cell_angle_gamma 66.87
loop_
_symmetry_equiv_pos_as_xyz
'x,y,z'
'-x,-y,-z'
loop_
_atom_site_label
_atom_site_fract_x
_atom_site_fract_y
_atom_site_fract_z
Zn1 0.009 0.099 0.373
Zn2 0.009 0.435 0.368
Zn3 0.027 0.748 0.373
Zn4 0.130 0.092 0.091
Zn5 0.137 0.403 0.088
Zn6 0.172 0.753 0.089
Zn7 0.259 0.114 0.805
Zn8 0.279 0.784 0.814
Zn9 0.289 0.437 0.824
Zn10 0.324 0.304 0.539
Zn11 0.326 0.970 0.537
Zn12 0.335 0.630 0.552
Zn13 0.363 0.161 0.283
Zn14 0.369 0.823 0.283
Zn15 0.373 0.482 0.253
Tc1 0.498 0.139 0.000
# energy relative to the lowest polymorph listed for this composition = 43 meV/atom
# ΔE_f = 50 meV per atom

# PBE-GGA Zn3Tc2, optimized geometry
data_Zn3Tc2
_chemical_formula_sum 'Zn9 Tc6'
_symmetry_space_group_name_H-M 'R -3 m'
_symmetry_Int_Tables_number 166
_symmetry_space_group_name_Hall '-R 3 2"'
_cell_length_a 2.7479
_cell_length_b 2.7479
_cell_length_c 33.4020
_cell_angle_alpha 90.00
_cell_angle_beta 90.00
_cell_angle_gamma 120.00
loop_
_atom_site_label
_atom_site_fract_x
_atom_site_fract_y
_atom_site_fract_z
Zn1 0.0000 0.0000 0.0000
Zn2 0.0000 0.0000 0.2008
Tc1 0.0000 0.0000 0.4000
# energy relative to the lowest polymorph listed for this composition = 0 meV/atom
# ΔE_f = 133 meV per atom

# PBE-GGA ZnTc3, optimized geometry
data_ZnTc3
_chemical_formula_sum 'Zn4 Tc12'
_symmetry_space_group_name_H-M 'I 4/m m m'
_symmetry_Int_Tables_number 139
_symmetry_space_group_name_Hall '-I 4 2'
_cell_length_a 3.788
_cell_length_b 3.788
_cell_length_c 16.034
_cell_angle_alpha 90.00
_cell_angle_beta 90.00
_cell_angle_gamma 90.00
loop_
_atom_site_label
_atom_site_fract_x
_atom_site_fract_y
_atom_site_fract_z
Zn1 0.000 0.000 0.123
Tc1 0.000 0.000 0.375
Tc2 0.000 0.500 0.000
Tc3 0.000 0.500 0.250
# ΔE_f = 197 meV per atom

# PBE-GGA Zn4Tc5, optimized geometry
data_Zn4Tc5
_chemical_formula_sum 'Zn8 Tc10'
_symmetry_space_group_name_H-M 'P 63/m c m'
_symmetry_Int_Tables_number 193
_symmetry_space_group_name_Hall '-P 6c 2'
_cell_length_a 7.6274
_cell_length_b 7.6274
_cell_length_c 5.1151
_cell_angle_alpha 90.00
_cell_angle_beta 90.00
_cell_angle_gamma 120.00
loop_
_atom_site_label
_atom_site_fract_x
_atom_site_fract_y
_atom_site_fract_z
Zn1 0.0000 0.0000 0.0000
Zn2 0.0000 0.3668 0.2500
Tc1 0.0000 0.3011 0.7500
Tc2 0.3333 0.6667 0.0000
# energy relative to the lowest polymorph listed for this composition = 107 meV/atom
# ΔE_f = 287 meV per atom

# PBE-GGA ZnTc2, optimized geometry
data_ZnTc2
_chemical_formula_sum 'Zn8 Tc16'
_symmetry_space_group_name_H-M 'I 41/a m d'
_symmetry_Int_Tables_number 141
_cell_length_a 3.873
_cell_length_b 3.873
_cell_length_c 22.961
_cell_angle_alpha 90.00
_cell_angle_beta 90.00
_cell_angle_gamma 90.00
loop_
_symmetry_equiv_pos_as_xyz
'x,y,z'
'-x,-y,-z'
'-y+1/4,x+3/4,z+1/4'
'y+1/4,-x+3/4,-z+1/4'
'-x+1/2,-y,z+1/2'
'x+1/2,y,-z+1/2'
'y+1/4,-x+1/4,z+3/4'
'-y+1/4,x+1/4,-z+3/4'
'x,-y,-z'
'-x,y,z'
'-y+1/4,-x+1/4,-z+3/4'
'y+1/4,x+1/4,z+3/4'
'-x+1/2,y,-z+1/2'
'x+1/2,-y,z+1/2'
'y+1/4,x+3/4,-z+1/4'
'-y+1/4,-x+3/4,z+1/4'
'x+1/2,y+1/2,z+1/2'
'-x+1/2,-y+1/2,-z+1/2'
'-y+3/4,x+1/4,z+3/4'
'y+3/4,-x+1/4,-z+3/4'
'-x,-y+1/2,z'
'x,y+1/2,-z'
'y+3/4,-x+3/4,z+1/4'
'-y+3/4,x+3/4,-z+1/4'
'x+1/2,-y+1/2,-z+1/2'
'-x+1/2,y+1/2,z+1/2'
'-y+3/4,-x+3/4,-z+1/4'
'y+3/4,x+3/4,z+1/4'
'-x,y+1/2,-z'
'x,-y+1/2,z'
'y+3/4,x+1/4,-z+3/4'
'-y+3/4,-x+1/4,z+3/4'
loop_
_atom_site_label
_atom_site_fract_x
_atom_site_fract_y
_atom_site_fract_z
Zn1 0.000 0.250 0.293
Tc1 0.000 0.250 0.128
Tc2 0.000 0.250 0.791
# energy relative to the lowest polymorph listed for this composition = 232 meV/atom
# ΔE_f = 195 meV per atom

# PBE-GGA ZnTc2, optimized geometry
data_ZnTc2
_chemical_formula_sum 'Zn4 Tc8'
_symmetry_space_group_name_H-M 'I 4/m c m'
_symmetry_Int_Tables_number 140
_symmetry_space_group_name_Hall '-I 4 2c'
_cell_length_a 6.071
_cell_length_b 6.071
_cell_length_c 4.719
_cell_angle_alpha 90.00
_cell_angle_beta 90.00
_cell_angle_gamma 90.00
loop_
_atom_site_label
_atom_site_fract_x
_atom_site_fract_y
_atom_site_fract_z
Zn1 0.000 0.000 0.250
Tc1 0.139 0.361 0.000
# energy relative to the lowest polymorph listed for this composition = 243 meV/atom
# ΔE_f = 206 meV per atom